No. 1
This record from Alexandria describes a relaxed YOs2 crystal. The functional is PBE.

The value obtained for the energy of formation is 5.2 eV per formula unit. The value obtained for the total magnetization is 0.00 μB per formula unit. The density is 11.0 g/cm³.

Structure (POSCAR):
```
YOs2
1.0
6.572 0.000 0.000
0.000 6.572 0.000
0.000 0.000 6.572
Y Os
4 8
Direct
0.000 0.000 0.000 Y
0.000 0.500 0.500 Y
0.500 0.000 0.500 Y
0.500 0.500 0.000 Y
0.101 0.601 0.899 Os
0.101 0.899 0.399 Os
0.399 0.101 0.899 Os
0.399 0.399 0.399 Os
0.601 0.601 0.601 Os
0.601 0.899 0.101 Os
0.899 0.101 0.601 Os
0.899 0.399 0.101 Os
```

=====

No. 2
This record from Alexandria describes a relaxed YOs crystal. The functional is PBE.

The value obtained for the energy of formation is 0.8 eV per formula unit. The value obtained for the total magnetization is 0.00 μB per formula unit. The density is 11.4 g/cm³.

Structure (POSCAR):
```
YOs
1.0
3.265 0.000 0.000
-1.633 2.828 0.000
0.000 0.000 8.811
Y Os
2 2
Direct
0.000 0.000 0.000 Y
0.000 0.000 0.500 Y
0.333 0.667 0.250 Os
0.667 0.333 0.750 Os
```

=====

No. 3
This record from Alexandria describes a relaxed YOs crystal. The functional is PBE.

The value obtained for the energy of formation is 2.3 eV per formula unit. The value obtained for the total magnetization is 1.00 μB per formula unit. The density is 6.4 g/cm³.

Structure (POSCAR):
```
YOs
1.0
-4.176 4.176 4.176
4.176 -4.176 4.176
4.176 4.176 -4.176
Y Os
4 4
Direct
0.000 0.000 0.587 Y
0.000 0.587 0.000 Y
0.413 0.413 0.413 Y
0.587 0.000 0.000 Y
0.000 0.000 0.223 Os
0.000 0.223 0.000 Os
0.223 0.000 0.000 Os
0.777 0.777 0.777 Os
```

=====

No. 4
This record from Alexandria describes a relaxed YOs crystal. The functional is PBE.

The value obtained for the energy of formation is 0.0 eV per formula unit. The value obtained for the total magnetization is 0.00 μB per formula unit. The density is 11.4 g/cm³.

Structure (POSCAR):
```
YOs
1.0
-1.629 2.395 5.227
1.629 -2.395 5.227
1.629 2.395 -5.227
Y Os
2 2
Direct
0.359 0.109 0.250 Y
0.641 0.891 0.750 Y
0.100 0.350 0.750 Os
0.900 0.650 0.250 Os
```